Entry 1:
DFT (GGA-PBEsol) results for crystalline CoC3Br at its relaxed geometry.

Unit cell a=3.793 b=3.793 c=3.793 alpha=90.00 beta=90.00 gamma=90.00
Fractional coordinates of all 5 atoms:
Co  0.000  0.000  0.000
C  0.000  0.000  0.500
C  0.000  0.500  0.000
C  0.500  0.000  0.000
Br  0.500  0.500  0.500

Calculated values
Its uncorrected energy is -5.462 eV per atom. The total magnetization is 0.6 Bohr magnetons per cell. The density of states at the Fermi level is 0.79 states/eV per atom. For the uncorrected formation energy, the calculation gives 2.246 eV per atom.

---

Entry 2:
DFT (GGA-PBEsol) results for crystalline Sc5Cu5O13 at its relaxed geometry.

Unit cell a=5.737 b=5.917 c=8.644 alpha=102.81 beta=109.16 gamma=98.73
Fractional coordinates of all 23 atoms:
Sc  0.000  0.000  0.000
Sc  0.187  0.946  0.389
Sc  0.408  0.042  0.809
Sc  0.600  0.000  0.203
Sc  0.794  0.948  0.595
Cu  0.191  0.504  0.889
Cu  0.394  0.488  0.331
Cu  0.606  0.486  0.703
Cu  0.798  0.495  0.088
Cu  0.998  0.485  0.490
O  0.066  0.539  0.291
O  0.078  0.176  0.831
O  0.117  0.820  0.583
O  0.281  0.833  0.963
O  0.309  0.159  0.242
O  0.497  0.809  0.353
O  0.517  0.153  0.619
O  0.520  0.443  0.885
O  0.676  0.820  0.777
O  0.694  0.531  0.522
O  0.720  0.173  0.047
O  0.867  0.820  0.148
O  0.923  0.150  0.437

Calculated values
Its uncorrected energy is -7.507 eV per atom. The total magnetization is 0.0 Bohr magnetons per cell. The density of states at the Fermi level is 0.18 states/eV per atom. For the uncorrected formation energy, the calculation gives -2.162 eV per atom.

---

Entry 3:
DFT (GGA-PBEsol) results for crystalline CaMn2Pt at its relaxed geometry.

Unit cell a=2.979 b=3.231 c=7.042 alpha=90.00 beta=90.00 gamma=90.00
Fractional coordinates of all 4 atoms:
Ca  0.000  0.000  0.000
Mn  0.000  0.000  0.498
Mn  0.500  0.500  0.343
Pt  0.500  0.500  0.714

Calculated values
Its uncorrected energy is -7.123 eV per atom. The total magnetization is 0.0 Bohr magnetons per cell. The density of states at the Fermi level is 0.70 states/eV per atom.

---

Look up the uncorrected energy of the third one. -7.123 eV per atom